Record 1
A geometry-optimized Nd3TlCl structure. Source: the Alexandria database, functional PBE-GGA.

Cell: 5.3549 5.3549 5.3549 Å, 90.00 90.00 90.00°
With the nearest neighbours (Å) after each atom.
Space group Pm-3m (No. 221)
One atom of each set of equivalent atoms:
Nd (0.0000, 0.0000, 0.5000) x3  2 Cl 2.68
Tl (0.5000, 0.5000, 0.5000) x1  12 Nd 3.79
Cl (0.0000, 0.0000, 0.0000) x1  6 Nd 2.68

Calculated values
Calculated total energy in eV/cell: -21.33
Energy above the most stable polymorph in this dataset in meV per atom: 179
Uncorrected formation energy in kJ/mol of atoms: -54.3


Record 2
A geometry-optimized NdTlCl4 structure. Source: the Alexandria database, functional PBE-GGA.

Cell: 9.5824 13.4991 7.1168 Å, 90.00 123.16 90.00°
With the nearest neighbours (Å) after each atom.
Space group C2/c (No. 15)
One atom of each set of equivalent atoms:
Nd (0.0000, 0.0072, 0.2500) x4  8 Cl 2.87-2.91
Tl (0.0000, 0.3628, 0.7500) x4  8 Cl 3.30-3.43
Cl (0.1012, 0.1575, 0.0628) x8  2 Nd 2.87-2.91
Cl (0.2345, 0.4403, 0.2972) x8  2 Nd 2.89-2.90, 2 Cl 3.22

Calculated values
Calculated total energy in eV/cell: -101.30
Energy above the most stable polymorph in this dataset in meV per atom: 61
Uncorrected formation energy in kJ/mol of atoms: -173.7


Record 3
A geometry-optimized NdTlCl4 structure. Source: the Alexandria database, functional PBE-GGA.

Cell: 8.4869 17.7518 7.1512 Å, 90.00 114.32 90.00°
With the nearest neighbours (Å) after each atom.
Space group C2/c (No. 15)
One atom of each set of equivalent atoms:
Nd (0.0000, 0.0694, 0.2500) x4  6 Cl 2.68-2.83
Tl (0.0000, 0.3175, 0.2500) x4  6 Cl 3.15-3.43
Cl (0.1914, 0.0464, 0.6666) x8  2 Nd 2.77-2.83
Cl (0.2283, 0.1759, 0.2638) x8  1 Nd 2.68

Calculated values
Calculated total energy in eV/cell: -102.76
Energy above the most stable polymorph in this dataset in meV per atom: 0
Uncorrected formation energy in kJ/mol of atoms: -179.6


Record 4
A geometry-optimized Nd2TlCl structure. Source: the Alexandria database, functional PBE-GGA.

Cell: 4.0734 4.0734 23.6948 Å, 90.00 90.00 120.00°
With the nearest neighbours (Å) after each atom.
Space group R-3m (No. 166, hexagonal axes)
One atom of each set of equivalent atoms:
Nd (0.0000, 0.0000, 0.2378) x6  3 Cl 2.89
Tl (0.0000, 0.0000, 0.0000) x3  6 Nd 3.26
Cl (0.0000, 0.0000, 0.5000) x3  6 Nd 2.89

Calculated values
Calculated total energy in eV/cell: -51.40
Energy above the most stable polymorph in this dataset in meV per atom: 0
Uncorrected formation energy in kJ/mol of atoms: -81.6


Record 5
A geometry-optimized Nd2TlCl structure. Source: the Alexandria database, functional PBE-GGA.

Cell: 4.0010 4.0010 24.6466 Å, 90.00 90.00 120.00°
With the nearest neighbours (Å) after each atom.
Space group R3m (No. 160, hexagonal axes)
One atom of each set of equivalent atoms:
Nd (0.0000, 0.0000, 0.0000) x3  3 Cl 2.87
Nd (0.0000, 0.0000, 0.1939) x3  3 Cl 2.89
Tl (0.0000, 0.0000, 0.4301) x3  6 Nd 3.32-3.33
Cl (0.0000, 0.0000, 0.5976) x3  6 Nd 2.87-2.89

Calculated values
Calculated total energy in eV/cell: -51.03
Energy above the most stable polymorph in this dataset in meV per atom: 30
Uncorrected formation energy in kJ/mol of atoms: -78.7


Record 6
A geometry-optimized Nd7TlCl12 structure. Source: the Alexandria database, functional PBE-GGA.

Cell: 15.3598 15.3598 9.0662 Å, 90.00 90.00 120.00°
With the nearest neighbours (Å) after each atom.
Space group R-3 (No. 148, hexagonal axes)
One atom of each set of equivalent atoms:
Nd (0.0000, 0.0000, 0.0000) x3  6 Cl 2.91
Nd (0.0392, 0.8661, 0.3013) x18  5 Cl 2.84-2.92, 1 Tl 3.01
Tl (0.0000, 0.0000, 0.5000) x3  6 Nd 3.01
Cl (0.0384, 0.4593, 0.1651) x18  3 Nd 2.90-2.92
Cl (0.0428, 0.8580, 0.8496) x18  3 Nd 2.84-2.91

Calculated values
Calculated total energy in eV/cell: -283.07
Uncorrected formation energy in kJ/mol of atoms: -175.9